Density functional theory data (PBE-GGA) for a relaxed structure of SbTeW2.

The structure belongs to space group R-3m (No. 166, hexagonal axes); the cell edges are 3.1928, 3.1928 and 26.0099 Å and the angles 90.00°, 90.00° and 120.00°. The inequivalent atoms are Sb at (0.0000, 0.0000, 0.0000), Te at (0.0000, 0.0000, 0.5000) and W at (0.0000, 0.0000, 0.2494).

The calculation puts the raw formation energy at 3.17 eV per formula unit. The distance to the lowest polymorph of the same formula comes out at 513.9 meV per atom. The total energy is -90.0 eV/cell.